# TaTcW2 (PBE-GGA, relaxed)
data_TaTcW2
_chemical_formula_sum 'Ta2 Tc2 W4'
_cell_length_a 10.158
_cell_length_b 3.175
_cell_length_c 4.476
_cell_angle_alpha 90.00
_cell_angle_beta 116.07
_cell_angle_gamma 90.00
_symmetry_space_group_name_H-M 'C 1 2/m 1'
_symmetry_Int_Tables_number 12
_symmetry_space_group_name_Hall '-C 2y'
loop_
_atom_site_label
_atom_site_type_symbol
_atom_site_fract_x
_atom_site_fract_y
_atom_site_fract_z
Ta1 Ta 0.000 0.000 0.000
Tc1 Tc 0.000 0.500 0.500
W1 W 0.249 0.000 0.749
# ΔE to the lowest computed polymorph ... 15.8 meV/atom
# E_form ... -0.57 eV/f.u.
# Crystal system ... monoclinic